# Y3Al8Ir (GGA-PBE, optimized geometry)
data_Y3Al8Ir
_space_group_name_H-M_alt 'P 1'
_space_group_IT_number 1
_cell_length_a 9.837
_cell_length_b 9.837
_cell_length_c 9.837
_cell_angle_alpha 31.56
_cell_angle_beta 31.56
_cell_angle_gamma 31.56
loop_
_space_group_symop_operation_xyz
'x,y,z'
loop_
_atom_site_label
_atom_site_type_symbol
_atom_site_fract_x
_atom_site_fract_y
_atom_site_fract_z
Y1 Y 0.000 0.000 0.000
Y2 Y 0.124 0.124 0.124
Y3 Y 0.621 0.621 0.621
Al1 Al 0.058 0.058 0.556
Al2 Al 0.058 0.556 0.058
Al3 Al 0.061 0.559 0.559
Al4 Al 0.309 0.309 0.309
Al5 Al 0.556 0.058 0.058
Al6 Al 0.559 0.061 0.559
Al7 Al 0.559 0.559 0.061
Al8 Al 0.808 0.808 0.808
Ir1 Ir 0.524 0.524 0.524
# Magnetization   0.000 μB/atom
# Volume   19.30 Å³ per atom
# Space-group type   R3m (160)
# DFT formation energy   -0.3936 eV/atom

---

# YAl6Ir3 (GGA-PBE, optimized geometry)
data_YAl6Ir3
_space_group_name_H-M_alt 'P 1'
_space_group_IT_number 1
_cell_length_a 8.130
_cell_length_b 4.230
_cell_length_c 9.845
_cell_angle_alpha 90.00
_cell_angle_beta 96.75
_cell_angle_gamma 90.00
loop_
_space_group_symop_operation_xyz
'x,y,z'
loop_
_atom_site_label
_atom_site_type_symbol
_atom_site_fract_x
_atom_site_fract_y
_atom_site_fract_z
Y1 Y 0.059 0.250 0.279
Y2 Y 0.941 0.750 0.721
Al1 Al 0.134 0.750 0.023
Al2 Al 0.147 0.250 0.600
Al3 Al 0.316 0.750 0.764
Al4 Al 0.324 0.750 0.267
Al5 Al 0.428 0.250 0.429
Al6 Al 0.462 0.250 0.914
Al7 Al 0.538 0.750 0.086
Al8 Al 0.572 0.750 0.571
Al9 Al 0.676 0.250 0.733
Al10 Al 0.684 0.250 0.236
Al11 Al 0.853 0.750 0.400
Al12 Al 0.866 0.250 0.977
Ir1 Ir 0.153 0.250 0.866
Ir2 Ir 0.252 0.750 0.501
Ir3 Ir 0.374 0.250 0.148
Ir4 Ir 0.626 0.750 0.852
Ir5 Ir 0.748 0.250 0.499
Ir6 Ir 0.847 0.750 0.134
# Magnetization   0.000 μB/atom
# Volume   16.81 Å³ per atom
# Space-group type   P2_1/m (11)
# DFT formation energy   -0.7884 eV/atom

---

# Y2AlIr3 (GGA-PBE, optimized geometry)
data_Y2AlIr3
_space_group_name_H-M_alt 'P 1'
_space_group_IT_number 1
_cell_length_a 5.158
_cell_length_b 5.158
_cell_length_c 5.158
_cell_angle_alpha 65.64
_cell_angle_beta 65.64
_cell_angle_gamma 65.64
loop_
_space_group_symop_operation_xyz
'x,y,z'
loop_
_atom_site_label
_atom_site_type_symbol
_atom_site_fract_x
_atom_site_fract_y
_atom_site_fract_z
Y1 Y 0.127 0.127 0.127
Y2 Y 0.873 0.873 0.873
Al1 Al 0.500 0.500 0.500
Ir1 Ir 0.000 0.500 0.500
Ir2 Ir 0.500 0.000 0.500
Ir3 Ir 0.500 0.500 0.000
# Magnetization   0.000 μB/atom
# Volume   18.15 Å³ per atom
# Space-group type   R-3m (166)
# DFT formation energy   -0.9060 eV/atom

---

# YAl3Ir (GGA-PBE, optimized geometry)
data_YAl3Ir
_space_group_name_H-M_alt 'P 1'
_space_group_IT_number 1
_cell_length_a 4.731
_cell_length_b 4.731
_cell_length_c 4.731
_cell_angle_alpha 90.00
_cell_angle_beta 90.00
_cell_angle_gamma 90.00
loop_
_space_group_symop_operation_xyz
'x,y,z'
loop_
_atom_site_label
_atom_site_type_symbol
_atom_site_fract_x
_atom_site_fract_y
_atom_site_fract_z
Y1 Y 0.000 0.000 0.000
Al1 Al 0.000 0.500 0.500
Al2 Al 0.500 0.000 0.500
Al3 Al 0.500 0.500 0.000
Ir1 Ir 0.500 0.500 0.500
# Magnetization   0.000 μB/atom
# Volume   21.18 Å³ per atom
# Space-group type   Pm-3m (221)
# DFT formation energy   -0.3471 eV/atom